12
Lattice="5.891 0.000 0.000 0.000 5.891 0.000 0.000 0.000 5.891" Properties=species:S:1:pos:R:3 comment="LaIrC | the Alexandria database | PBE | optimized geometry" space_group="P2_13, No. 198" formation_enthalpy_0k_ev_per_atom=-0.249 e_above_lowest_polymorph_ev_per_atom=0.0000 dos_at_fermi_per_ev_atom=0.63 e_tot_ev_per_atom=-7.919 pbc="T T T"
La 0.897 0.897 0.897
La 2.049 4.994 3.842
La 3.842 2.049 4.994
La 4.994 3.842 2.049
Ir 0.942 2.004 3.887
Ir 2.004 3.887 0.942
Ir 3.887 0.942 2.004
Ir 4.949 4.949 4.949
C 0.481 3.427 5.410
C 2.464 2.464 2.464
C 3.427 5.410 0.481
C 5.410 0.481 3.427